1.
Compound: RbNdPtS3
Source: OQMD via LeMat-Bulk
Functional: GGA-PBE
Structure: relaxed

Cell lengths 8.072, 8.072, 10.431 Å; angles 90.00, 90.00, 151.12 degrees
Element x y z (fractional)
Nd 0.000 0.000 0.000
Nd 0.000 0.000 0.500
Pt 0.492 0.508 0.250
Pt 0.508 0.492 0.750
Rb 0.752 0.248 0.250
Rb 0.248 0.752 0.750
S 0.385 0.615 0.086
S 0.080 0.920 0.250
S 0.385 0.615 0.414
S 0.615 0.385 0.586
S 0.920 0.080 0.750
S 0.615 0.385 0.914

=====

2.
Compound: Ta4TlInN2
Source: OQMD via LeMat-Bulk
Functional: GGA-PBE
Structure: relaxed

Cell lengths 3.196, 3.196, 14.204 Å; angles 90.00, 90.00, 120.00 degrees
Element x y z (fractional)
In 0.000 0.000 0.000
N 0.667 0.333 0.248
N 0.667 0.333 0.752
Ta 0.333 0.667 0.168
Ta 0.000 0.000 0.329
Ta 0.000 0.000 0.671
Ta 0.333 0.667 0.832
Tl 0.333 0.667 0.500

=====

3.
Compound: NdDyHg6
Source: OQMD via LeMat-Bulk
Functional: GGA-PBE
Structure: relaxed

Cell lengths 6.648, 6.648, 5.025 Å; angles 90.00, 90.00, 120.00 degrees
Element x y z (fractional)
Dy 0.000 0.000 0.500
Hg 0.332 0.166 0.000
Hg 0.834 0.166 0.000
Hg 0.834 0.668 0.000
Hg 0.504 0.007 0.500
Hg 0.504 0.496 0.500
Hg 0.993 0.496 0.500
Nd 0.333 0.667 0.000

## Properties
Energy relative to the elements: -364.9 meV/atom

=====

Number 1: magnetic moment 0.138 μB per formula unit, E -5.176 eV per atom. Number 2: magnetic moment 0.000 μB per formula unit, E -8.978 eV per atom. Number 3: magnetic moment 0.005 μB per formula unit, E -1.759 eV per atom.